[1]
A plane-wave DFT calculation with PBE-GGA was carried out for Ce5Pa3N8 after structural relaxation.

Values from the calculation:
**Symmetry**: R-3m (166)

The structure in POSCAR format:
```
Ce5Pa3N8
1.0
-5.282 -0.728 4.680
1.383 -2.224 6.593
-0.556 4.493 5.449
Ce Pa N
5 3 8
Direct
0.500 0.000 0.000 Ce
0.500 0.500 0.000 Ce
0.000 0.000 0.000 Ce
0.000 0.500 0.000 Ce
0.500 0.500 0.500 Ce
0.500 0.000 0.500 Pa
0.000 0.000 0.500 Pa
0.000 0.500 0.500 Pa
0.250 0.250 0.731 N
0.250 0.769 0.731 N
0.769 0.250 0.731 N
0.758 0.758 0.725 N
0.750 0.750 0.269 N
0.750 0.231 0.269 N
0.231 0.750 0.269 N
0.242 0.242 0.275 N
```

[2]
A plane-wave DFT calculation with PBE-GGA was carried out for CePa2N4 after structural relaxation.

Values from the calculation:
**Symmetry**: I-42d (122)
**Energy above the lowest structure with this stoichiometry**: 0.1322 eV/atom

The structure in POSCAR format:
```
CePa2N4
1.0
-2.706 -4.632 3.431
6.318 -0.530 0.586
-1.700 5.793 2.024
Ce Pa N
2 4 8
Direct
0.000 0.000 0.000 Ce
0.750 0.500 0.250 Ce
0.875 0.114 0.489 Pa
0.511 0.386 0.625 Pa
0.375 0.886 0.761 Pa
0.239 0.614 0.125 Pa
0.143 0.888 0.389 N
0.611 0.754 0.499 N
0.005 0.612 0.751 N
0.249 0.254 0.861 N
0.607 0.746 0.995 N
0.745 0.246 0.857 N
0.501 0.112 0.255 N
0.139 0.388 0.393 N
```

[3]
A plane-wave DFT calculation with PBE-GGA was carried out for CePa2PdN5 after structural relaxation.

Values from the calculation:
**Symmetry**: I4/mcm (140)

The structure in POSCAR format:
```
CePa2PdN5
1.0
-3.836 4.078 3.399
-5.240 -3.580 -1.620
5.286 -3.481 3.833
Ce Pa Pd N
2 4 2 10
Direct
0.250 0.250 0.500 Ce
0.750 0.750 0.500 Ce
0.167 0.333 0.000 Pa
0.667 0.167 0.000 Pa
0.333 0.833 0.000 Pa
0.833 0.667 0.000 Pa
0.250 0.750 0.500 Pd
0.750 0.250 0.500 Pd
0.963 0.463 0.254 N
0.709 0.209 0.746 N
0.037 0.537 0.746 N
0.209 0.037 0.746 N
0.537 0.709 0.746 N
0.791 0.963 0.254 N
0.463 0.291 0.254 N
0.291 0.791 0.254 N
0.500 0.500 0.000 N
0.000 0.000 0.000 N
```

[4]
A plane-wave DFT calculation with PBE-GGA was carried out for Ce2PaPdN4 after structural relaxation.

Values from the calculation:
**Symmetry**: I-42m (121)

The structure in POSCAR format:
```
Ce2PaPdN4
1.0
6.000 0.000 0.000
3.000 4.284 0.000
3.000 0.000 4.284
Ce Pa Pd N
2 1 1 4
Direct
0.000 0.500 0.500 Ce
0.500 0.500 0.500 Ce
0.000 0.000 0.000 Pa
0.500 0.000 0.000 Pd
0.063 0.398 0.000 N
0.937 0.000 0.602 N
0.539 0.000 0.398 N
0.461 0.602 0.000 N
```

[5]
A plane-wave DFT calculation with PBE-GGA was carried out for CePa2PdN4 after structural relaxation.

Values from the calculation:
**Symmetry**: Cmcm (63)

The structure in POSCAR format:
```
CePa2PdN4
1.0
-3.162 1.399 0.729
-0.213 -1.960 -5.728
-3.830 -10.620 3.776
Ce Pa Pd N
2 4 2 8
Direct
0.104 0.208 0.750 Ce
0.896 0.792 0.250 Ce
0.370 0.741 0.559 Pa
0.630 0.259 0.059 Pa
0.630 0.259 0.441 Pa
0.370 0.741 0.941 Pa
0.834 0.667 0.750 Pd
0.166 0.333 0.250 Pd
0.270 0.540 0.098 N
0.730 0.460 0.598 N
0.730 0.460 0.902 N
0.270 0.540 0.402 N
0.000 0.000 0.500 N
0.000 0.000 0.000 N
0.465 0.930 0.750 N
0.535 0.070 0.250 N
```

[6]
A plane-wave DFT calculation with PBE-GGA was carried out for Ce3PmPa2N6 after structural relaxation.

Values from the calculation:
**Symmetry**: C2/m (12)

The structure in POSCAR format:
```
Ce3PmPa2N6
1.0
6.149 0.001 0.000
-3.072 5.327 0.000
-1.027 -1.778 5.818
Ce Pm Pa N
3 1 2 6
Direct
0.165 0.835 0.500 Ce
0.835 0.165 0.500 Ce
0.500 0.500 0.500 Ce
0.000 0.000 0.000 Pm
0.333 0.667 0.000 Pa
0.667 0.333 0.000 Pa
0.922 0.570 0.768 N
0.724 0.724 0.230 N
0.078 0.430 0.232 N
0.570 0.922 0.768 N
0.276 0.276 0.770 N
0.430 0.078 0.232 N
```

no.,uncorrected formation energy (kJ per mole of atoms)
1,-154
2,-139
3,-100
4,-60
5,-120
6,-153